A relaxed structure of Li4Mg3Tl. Source: the Alexandria database, functional PBE.

```
Li4Mg3Tl
1.0
3.4290 0.0000 0.0000
0.0000 3.4290 0.0000
0.0000 0.0000 13.7765
Mg Li Tl
3 4 1
Cartesian
1.7145 1.7145 6.8882 Mg
1.7145 1.7145 10.2744 Mg
1.7145 1.7145 3.5021 Mg
0.0000 0.0000 5.1865 Li
0.0000 0.0000 12.0651 Li
0.0000 0.0000 8.5900 Li
0.0000 0.0000 1.7113 Li
1.7145 1.7145 0.0000 Tl
```

Space-group type   P4/mmm (123)
E above lowest polymorph   0.000 eV/atom
Total magnetic moment   0.00 μB per formula unit
Formation energy from the elements   -0.11 eV/atom

A relaxed structure of LiTbAgBi. Source: the Alexandria database, functional PBE.

```
LiTbAgBi
1.0
-2.8895 2.5816 -3.3767
-4.7618 -1.6119 -1.0691
-4.0552 2.7061 1.6275
Ag Li Tb Bi
1 1 1 1
Cartesian
-2.9266 0.9189 -0.7046 Ag
-5.8533 1.8379 -1.4091 Li
0.0000 0.0000 0.0000 Tb
-8.7799 2.7568 -2.1137 Bi
```

Space-group type   F-43m (216)
Total magnetic moment   0.00 μB per formula unit
Formation energy from the elements   -0.44 eV/atom

A relaxed structure of CeNdScPb. Source: the Alexandria database, functional PBE.

```
CeNdScPb
1.0
-2.3538 -1.2406 -4.6820
2.9624 -0.4058 -4.4789
0.8430 -4.8228 -2.2430
Sc Pb Nd Ce
1 1 1 1
Cartesian
0.0000 0.0000 0.0000 Sc
1.0887 -4.8519 -8.5529 Pb
0.7258 -3.2346 -5.7019 Nd
0.3629 -1.6173 -2.8510 Ce
```

Space-group type   F-43m (216)
Total magnetic moment   0.79 μB per formula unit
Formation energy from the elements   -0.06 eV/atom